## i
# PaGa4Fe

A geometry-optimized PaGa4Fe structure (GGA-PBE, Alexandria).

Unit cell a=4.118 b=6.656 c=7.417 alpha=90.00 beta=90.00 gamma=90.00
Positions (direct):
Fe1 0.000 0.229 0.750
Fe2 0.000 0.771 0.250
Ga1 0.000 0.000 0.500
Ga2 0.500 0.957 0.750
Ga3 0.500 0.043 0.250
Ga4 0.500 0.681 0.434
Ga5 0.000 0.000 0.000
Ga6 0.500 0.319 0.566
Ga7 0.500 0.319 0.934
Ga8 0.500 0.681 0.066
Pa1 0.000 0.624 0.750
Pa2 0.000 0.376 0.250

Its symmetry is Pmma (51).

***

## ii
# PaGa4Fe

A geometry-optimized PaGa4Fe structure (GGA-PBE, Alexandria).

Unit cell a=4.755 b=6.357 c=8.176 alpha=112.88 beta=106.92 gamma=90.00
Site moments in Bohr magnetons follow the coordinates.
Positions (direct):
Fe1 0.738 0.500 0.000  1.71
Fe2 0.262 0.500 0.000  1.71
Ga1 0.610 0.343 0.219  -0.02
Ga2 0.157 0.657 0.314  -0.04
Ga3 0.000 0.818 0.000  -0.02
Ga4 0.843 0.343 0.686  -0.04
Ga5 0.000 0.182 0.000  -0.02
Ga6 0.610 0.876 0.219  -0.02
Ga7 0.390 0.124 0.781  -0.02
Ga8 0.390 0.657 0.781  -0.02
Pa1 0.209 0.209 0.417  0.30
Pa2 0.791 0.791 0.583  0.30

Its symmetry is Immm (71).

***

What should be chosen as the least stable of them? Choose ii.

***

## i
# GaFe2Pb

A geometry-optimized GaFe2Pb structure (GGA-PBE, Alexandria).

Unit cell a=4.133 b=4.133 c=9.300 alpha=77.16 beta=77.16 gamma=90.00
Site moments in Bohr magnetons follow the coordinates.
Positions (direct):
Ga1 0.500 0.500 0.000  -0.07
Ga2 0.250 0.750 0.500  -0.07
Pb1 0.000 0.000 0.000  -0.06
Pb2 0.750 0.250 0.500  -0.06
Fe1 0.875 0.785 0.750  2.44
Fe2 0.535 0.125 0.250  2.54
Fe3 0.215 0.625 0.250  2.54
Fe4 0.375 0.465 0.750  2.46

Its symmetry is I-42d (122).

***

## ii
# GaFe2Pb

A geometry-optimized GaFe2Pb structure (GGA-PBE, Alexandria).

Unit cell a=4.348 b=4.348 c=4.348 alpha=60.00 beta=60.00 gamma=60.00
Site moments in Bohr magnetons follow the coordinates.
Positions (direct):
Ga1 0.000 0.000 0.000  -0.01
Fe1 0.250 0.250 0.250  0.08
Fe2 0.750 0.750 0.750  0.08
Pb1 0.500 0.500 0.500  -0.01

Its symmetry is Fm-3m (225).

***

What should be chosen as the least stable of them? Choose i.

***

## i
# Ga2Fe2Pd

A geometry-optimized Ga2Fe2Pd structure (GGA-PBE, Alexandria).

Unit cell a=6.709 b=6.709 c=3.090 alpha=90.00 beta=90.00 gamma=90.00
Site moments in Bohr magnetons follow the coordinates.
Positions (direct):
Pd1 0.000 0.000 0.000  0.13
Pd2 0.500 0.500 0.000  0.13
Ga1 0.138 0.362 0.000  -0.08
Ga2 0.638 0.138 0.000  -0.08
Ga3 0.862 0.638 0.000  -0.08
Ga4 0.362 0.862 0.000  -0.08
Fe1 0.339 0.161 0.500  2.38
Fe2 0.661 0.839 0.500  2.38
Fe3 0.161 0.661 0.500  2.38
Fe4 0.839 0.339 0.500  2.38

Its symmetry is P4/mbm (127).

***

## ii
# Ga2Fe2Pd

A geometry-optimized Ga2Fe2Pd structure (GGA-PBE, Alexandria).

Unit cell a=7.266 b=7.266 c=2.684 alpha=90.00 beta=90.00 gamma=90.00
Site moments in Bohr magnetons follow the coordinates.
Positions (direct):
Pd1 0.000 0.000 0.000  0.03
Pd2 0.500 0.500 0.000  0.03
Fe1 0.884 0.616 0.000  2.17
Fe2 0.116 0.384 0.000  2.17
Fe3 0.616 0.116 0.000  2.18
Fe4 0.384 0.884 0.000  2.18
Ga1 0.682 0.818 0.500  -0.10
Ga2 0.318 0.182 0.500  -0.10
Ga3 0.818 0.318 0.500  -0.10
Ga4 0.182 0.682 0.500  -0.10

Its symmetry is P4/mbm (127).

***

What should be chosen as the least stable of them? Choose i.

***

## i
# PrGa6Fe6

A geometry-optimized PrGa6Fe6 structure (GGA-PBE, Alexandria).

Unit cell a=5.051 b=6.623 c=6.623 alpha=80.91 beta=67.58 gamma=67.58
Site moments in Bohr magnetons follow the coordinates.
Positions (direct):
Pr1 0.000 0.000 0.000  -0.13
Ga1 0.691 0.809 0.809  -0.08
Ga2 0.000 0.663 0.337  -0.06
Ga3 0.347 0.653 0.653  -0.07
Ga4 0.309 0.191 0.191  -0.08
Ga5 0.653 0.347 0.347  -0.07
Ga6 0.000 0.337 0.663  -0.06
Fe1 0.500 0.000 0.500  1.96
Fe2 0.500 0.500 0.000  1.96
Fe3 0.000 0.500 0.000  1.96
Fe4 0.500 0.756 0.244  2.02
Fe5 0.500 0.244 0.756  2.02
Fe6 0.000 0.000 0.500  1.96

Its symmetry is Immm (71).

***

## ii
# PrGa6Fe6

A geometry-optimized PrGa6Fe6 structure (GGA-PBE, Alexandria).

Unit cell a=8.661 b=6.728 c=6.592 alpha=81.11 beta=50.12 gamma=48.76
Site moments in Bohr magnetons follow the coordinates.
Positions (direct):
Fe1 0.507 0.712 0.288  2.46
Fe2 0.500 0.000 0.500  2.20
Fe3 0.712 0.507 0.493  2.46
Fe4 0.000 0.500 0.000  2.20
Fe5 0.288 0.493 0.507  2.46
Fe6 0.493 0.288 0.712  2.46
Ga1 0.353 0.017 0.983  -0.05
Ga2 0.500 0.500 0.000  -0.05
Ga3 0.000 0.000 0.500  -0.05
Ga4 0.983 0.647 0.353  -0.05
Ga5 0.647 0.983 0.017  -0.05
Ga6 0.017 0.353 0.647  -0.05
Pr1 0.000 0.000 0.000  -0.10

Its symmetry is Fmmm (69).

***

What should be chosen as the least stable of them? Choose ii.

***

## i
# PuGa3Fe

A geometry-optimized PuGa3Fe structure (GGA-PBE, Alexandria).

Unit cell a=5.315 b=6.213 c=6.213 alpha=120.00 beta=90.00 gamma=90.00
Site moments in Bohr magnetons follow the coordinates.
Positions (direct):
Ga1 0.250 0.188 0.812  -0.03
Ga2 0.750 0.376 0.188  -0.03
Ga3 0.750 0.812 0.188  -0.03
Ga4 0.750 0.812 0.624  -0.03
Ga5 0.250 0.624 0.812  -0.03
Ga6 0.250 0.188 0.376  -0.03
Pu1 0.250 0.667 0.333  5.22
Pu2 0.750 0.333 0.667  5.22
Fe1 0.500 0.000 0.000  1.66
Fe2 0.000 0.000 0.000  1.66

Its symmetry is P6_3/mmc (194).

***

## ii
# PuGa3Fe

A geometry-optimized PuGa3Fe structure (GGA-PBE, Alexandria).

Unit cell a=4.559 b=4.559 c=4.559 alpha=90.00 beta=90.00 gamma=90.00
Site moments in Bohr magnetons follow the coordinates.
Positions (direct):
Pu1 0.500 0.500 0.500  5.50
Ga1 0.000 0.000 0.500  -0.03
Ga2 0.500 0.000 0.000  -0.03
Ga3 0.000 0.500 0.000  -0.03
Fe1 0.000 0.000 0.000  0.88

Its symmetry is Pm-3m (221).

***

What should be chosen as the least stable of them? Choose ii.

***

## i
# Pu2Ga6Fe

A geometry-optimized Pu2Ga6Fe structure (GGA-PBE, Alexandria).

Unit cell a=6.172 b=6.172 c=6.172 alpha=60.00 beta=60.00 gamma=60.00
Site moments in Bohr magnetons follow the coordinates.
Positions (direct):
Ga1 0.277 0.277 0.723  -0.02
Ga2 0.723 0.277 0.277  -0.02
Ga3 0.277 0.723 0.277  -0.02
Ga4 0.277 0.723 0.723  -0.02
Ga5 0.723 0.277 0.723  -0.02
Ga6 0.723 0.723 0.277  -0.02
Pu1 0.750 0.750 0.750  5.21
Pu2 0.250 0.250 0.250  5.21
Fe1 0.000 0.000 0.000  1.94

Its symmetry is Fm-3m (225).

***

## ii
# Pu2Ga6Fe

A geometry-optimized Pu2Ga6Fe structure (GGA-PBE, Alexandria).

Unit cell a=5.425 b=5.932 c=5.932 alpha=60.01 beta=90.01 gamma=90.01
Site moments in Bohr magnetons follow the coordinates.
Positions (direct):
Ga1 0.306 0.828 0.828  -0.01
Ga2 0.694 0.172 0.172  -0.01
Ga3 0.695 0.173 0.655  -0.01
Ga4 0.305 0.345 0.827  -0.01
Ga5 0.695 0.655 0.173  -0.01
Ga6 0.305 0.827 0.345  -0.01
Fe1 0.000 0.000 0.000  1.49
Pu1 0.812 0.667 0.667  5.21
Pu2 0.188 0.333 0.333  5.21

Its symmetry is P-3m1 (164).

***

What should be chosen as the least stable of them? Choose ii.